Entry 1:
# AlSb2O6, optimized geometry, DFT PBE
# Crystal system: trigonal
# Uncorrected energy, Ha/atom: -0.236
data_AlSb2O6
_chemical_formula_sum 'Al3 Sb6 O18'
_cell_length_a 8.7160
_cell_length_b 8.7160
_cell_length_c 4.7018
_cell_angle_alpha 90.00
_cell_angle_beta 90.00
_cell_angle_gamma 120.00
_symmetry_space_group_name_H-M 'P 3 2 1'
_symmetry_Int_Tables_number 150
loop_
_symmetry_equiv_pos_as_xyz
'x,y,z'
'-y,x-y,z'
'-x+y,-x,z'
'y,x,-z'
'x-y,-y,-z'
'-x,-x+y,-z'
loop_
_atom_site_label
_atom_site_fract_x
_atom_site_fract_y
_atom_site_fract_z
Al1 0.0000 0.0000 0.0000
Al2 0.3333 0.6667 0.5078
Sb1 0.0000 0.3024 0.5000
Sb2 0.0000 0.6366 0.0000
O1 0.0971 0.8872 0.7724
O2 0.1221 0.5349 0.7276
O3 0.2230 0.7715 0.2853

=====

Entry 2:
# AlSbO3, optimized geometry, DFT PBE
# Crystal system: hexagonal
# Uncorrected energy, Ha/atom: -0.217
data_AlSbO3
_chemical_formula_sum 'Al2 Sb2 O6'
_cell_length_a 3.5159
_cell_length_b 3.5159
_cell_length_c 12.6759
_cell_angle_alpha 90.00
_cell_angle_beta 90.00
_cell_angle_gamma 120.00
_symmetry_space_group_name_H-M 'P 63/m m c'
_symmetry_Int_Tables_number 194
_symmetry_space_group_name_Hall '-P 6c 2c'
loop_
_atom_site_label
_atom_site_fract_x
_atom_site_fract_y
_atom_site_fract_z
Al1 0.0000 0.0000 0.0000
Sb1 0.3333 0.6667 0.2500
O1 0.0000 0.0000 0.2500
O2 0.3333 0.6667 0.0653

=====

Entry 3:
# AlSbO2, optimized geometry, DFT PBE
# Crystal system: trigonal
# Uncorrected energy, Ha/atom: -0.200
# Polymorph energy (0 for the lowest one), meV/atom: 922.1
data_AlSbO2
_chemical_formula_sum 'Al3 Sb3 O6'
_cell_length_a 3.7118
_cell_length_b 3.7118
_cell_length_c 17.1033
_cell_angle_alpha 90.00
_cell_angle_beta 90.00
_cell_angle_gamma 120.00
_symmetry_space_group_name_H-M 'R -3 m'
_symmetry_Int_Tables_number 166
_symmetry_space_group_name_Hall '-R 3 2"'
loop_
_atom_site_label
_atom_site_fract_x
_atom_site_fract_y
_atom_site_fract_z
Al1 0.0000 0.0000 0.0000
Sb1 0.0000 0.0000 0.5000
O1 0.0000 0.0000 0.1043

=====

Entry 4:
# ScAlSbO6, optimized geometry, DFT PBE
# Crystal system: trigonal
# Uncorrected energy, Ha/atom: -0.263
data_ScAlSbO6
_chemical_formula_sum 'Sc2 Al2 Sb2 O12'
_cell_length_a 5.1017
_cell_length_b 5.1017
_cell_length_c 9.0388
_cell_angle_alpha 90.00
_cell_angle_beta 90.00
_cell_angle_gamma 120.00
_symmetry_space_group_name_H-M 'P -3 1 c'
_symmetry_Int_Tables_number 163
_symmetry_space_group_name_Hall '-P 3 2c'
loop_
_atom_site_label
_atom_site_fract_x
_atom_site_fract_y
_atom_site_fract_z
Sc1 0.0000 0.0000 0.0000
Al1 0.3333 0.6667 0.2500
Sb1 0.3333 0.6667 0.7500
O1 0.0129 0.3549 0.1342

=====

Entry 5:
# AlSnSbO6, optimized geometry, DFT PBE
# Crystal system: trigonal
# Uncorrected energy, Ha/atom: -0.240
data_AlSnSbO6
_chemical_formula_sum 'Al2 Sn2 Sb2 O12'
_cell_length_a 5.0620
_cell_length_b 5.0620
_cell_length_c 8.9745
_cell_angle_alpha 90.00
_cell_angle_beta 90.00
_cell_angle_gamma 120.00
_symmetry_space_group_name_H-M 'P -3 1 c'
_symmetry_Int_Tables_number 163
_symmetry_space_group_name_Hall '-P 3 2c'
loop_
_atom_site_label
_atom_site_fract_x
_atom_site_fract_y
_atom_site_fract_z
Al1 0.3333 0.6667 0.2500
Sn1 0.0000 0.0000 0.0000
Sb1 0.3333 0.6667 0.7500
O1 0.0124 0.3540 0.1323

=====

Entry 6:
# Sr2AlSbO6, optimized geometry, DFT PBE
# Crystal system: cubic
# Uncorrected energy, Ha/atom: -0.243
data_Sr2AlSbO6
_chemical_formula_sum 'Sr8 Al4 Sb4 O24'
_cell_length_a 7.858
_cell_length_b 7.858
_cell_length_c 7.858
_cell_angle_alpha 90.00
_cell_angle_beta 90.00
_cell_angle_gamma 90.00
_symmetry_space_group_name_H-M 'F m -3 m'
_symmetry_Int_Tables_number 225
_symmetry_space_group_name_Hall '-F 4 2 3'
loop_
_atom_site_label
_atom_site_fract_x
_atom_site_fract_y
_atom_site_fract_z
Sr1 0.250 0.250 0.250
Al1 0.000 0.000 0.000
Sb1 0.000 0.000 0.500
O1 0.000 0.000 0.246

=====

Entry 7:
# Sr3Al2SbO8, optimized geometry, DFT PBE
# Crystal system: trigonal
# Uncorrected energy, Ha/atom: -0.240
data_Sr3Al2SbO8
_chemical_formula_sum 'Sr3 Al2 Sb1 O8'
_cell_length_a 5.7164
_cell_length_b 5.7164
_cell_length_c 7.1937
_cell_angle_alpha 90.00
_cell_angle_beta 90.00
_cell_angle_gamma 120.00
_symmetry_space_group_name_H-M 'P -3 m 1'
_symmetry_Int_Tables_number 164
_symmetry_space_group_name_Hall '-P 3 2"'
loop_
_atom_site_label
_atom_site_fract_x
_atom_site_fract_y
_atom_site_fract_z
Sr1 0.0000 0.0000 0.0000
Sr2 0.3333 0.6667 0.6603
Al1 0.3333 0.6667 0.2103
Sb1 0.0000 0.0000 0.5000
O1 0.1693 0.3385 0.3185
O2 0.3333 0.6667 0.9735

=====

Entry 8:
# Sr3Al2SbO9, optimized geometry, DFT PBE
# Crystal system: trigonal
# Uncorrected energy, Ha/atom: -0.244
data_Sr3Al2SbO9
_chemical_formula_sum 'Sr3 Al2 Sb1 O9'
_cell_length_a 5.5111
_cell_length_b 5.5111
_cell_length_c 6.7793
_cell_angle_alpha 90.00
_cell_angle_beta 90.00
_cell_angle_gamma 120.00
_symmetry_space_group_name_H-M 'P -3 m 1'
_symmetry_Int_Tables_number 164
_symmetry_space_group_name_Hall '-P 3 2"'
loop_
_atom_site_label
_atom_site_fract_x
_atom_site_fract_y
_atom_site_fract_z
Sr1 0.0000 0.0000 0.0000
Sr2 0.3333 0.6667 0.6764
Al1 0.3333 0.6667 0.1561
Sb1 0.0000 0.0000 0.5000
O1 0.0000 0.5000 0.0000
O2 0.1696 0.3392 0.3293

=====

Entry 9:
# SrAlSbO6, optimized geometry, DFT PBE
# Crystal system: trigonal
# Uncorrected energy, Ha/atom: -0.230
data_SrAlSbO6
_chemical_formula_sum 'Sr2 Al2 Sb2 O12'
_cell_length_a 5.2105
_cell_length_b 5.2105
_cell_length_c 10.9092
_cell_angle_alpha 90.00
_cell_angle_beta 90.00
_cell_angle_gamma 120.00
_symmetry_space_group_name_H-M 'P -3 1 c'
_symmetry_Int_Tables_number 163
_symmetry_space_group_name_Hall '-P 3 2c'
loop_
_atom_site_label
_atom_site_fract_x
_atom_site_fract_y
_atom_site_fract_z
Sr1 0.0000 0.0000 0.0000
Al1 0.3333 0.6667 0.2500
Sb1 0.3333 0.6667 0.7500
O1 0.0130 0.3744 0.1522

=====

Entry 10:
# SrAlSbO5, optimized geometry, DFT PBE
# Crystal system: monoclinic
# Uncorrected energy, Ha/atom: -0.246
data_SrAlSbO5
_chemical_formula_sum 'Sr4 Al4 Sb4 O20'
_cell_length_a 6.953
_cell_length_b 9.259
_cell_length_c 7.429
_cell_angle_alpha 90.00
_cell_angle_beta 115.02
_cell_angle_gamma 90.00
_symmetry_space_group_name_H-M 'C 1 2/c 1'
_symmetry_Int_Tables_number 15
loop_
_symmetry_equiv_pos_as_xyz
'x,y,z'
'-x,-y,-z'
'-x,y,-z+1/2'
'x,-y,z+1/2'
'x+1/2,y+1/2,z'
'-x+1/2,-y+1/2,-z'
'-x+1/2,y+1/2,-z+1/2'
'x+1/2,-y+1/2,z+1/2'
loop_
_atom_site_label
_atom_site_fract_x
_atom_site_fract_y
_atom_site_fract_z
Sr1 0.000 0.165 0.250
Al1 0.000 0.189 0.750
Sb1 0.000 0.500 0.000
O1 0.000 0.427 0.250
O2 0.096 0.299 0.607
O3 0.196 0.065 0.907

=====

Entry 11:
# TaAlSbO6, optimized geometry, DFT PBE
# Crystal system: trigonal
# Uncorrected energy, Ha/atom: -0.286
data_TaAlSbO6
_chemical_formula_sum 'Ta2 Al2 Sb2 O12'
_cell_length_a 5.0972
_cell_length_b 5.0972
_cell_length_c 9.2010
_cell_angle_alpha 90.00
_cell_angle_beta 90.00
_cell_angle_gamma 120.00
_symmetry_space_group_name_H-M 'P -3 1 c'
_symmetry_Int_Tables_number 163
_symmetry_space_group_name_Hall '-P 3 2c'
loop_
_atom_site_label
_atom_site_fract_x
_atom_site_fract_y
_atom_site_fract_z
Ta1 0.3333 0.6667 0.2500
Al1 0.3333 0.6667 0.7500
Sb1 0.0000 0.0000 0.0000
O1 0.0110 0.3571 0.6353

=====

Entry 12:
# AlTc2SbO, optimized geometry, DFT PBE
# Crystal system: tetragonal
# Uncorrected energy, Ha/atom: -0.250
data_AlTc2SbO
_chemical_formula_sum 'Al1 Tc2 Sb1 O1'
_cell_length_a 4.491
_cell_length_b 4.491
_cell_length_c 3.565
_cell_angle_alpha 90.00
_cell_angle_beta 90.00
_cell_angle_gamma 90.00
_symmetry_space_group_name_H-M 'P 4/m m m'
_symmetry_Int_Tables_number 123
_symmetry_space_group_name_Hall '-P 4 2'
loop_
_atom_site_label
_atom_site_fract_x
_atom_site_fract_y
_atom_site_fract_z
Al1 0.000 0.000 0.000
Tc1 0.000 0.500 0.500
Sb1 0.500 0.500 0.000
O1 0.000 0.000 0.500

=====

Computed energy relative to the elements, uncorrected, in the same sequence as the records: -1.780, -1.370, -1.003, -2.260, -1.898, -2.511, -2.509, -2.543, -1.885, -2.409, -2.274, -0.085 eV per atom.
Computed spin magnetization, in the same sequence as the records: 0.0, 0.0, 0.0, 1.0, 0.0, 0.0, 0.0, 0.6, 2.0, 0.0, 0.0, 0.0 μB/f.u..